Record 1
6
Lattice="-1.828 2.140 7.627 1.828 -2.140 7.627 1.828 2.140 -7.627" Properties=species:S:1:pos:R:3 comment="Tb2PaNi3 (PBE-GGA, relaxed)" magnetic_moment_mub_per_cell=0.00 dos_at_fermi_per_ev_cell=4.8 crystal_system=orthorhombic sg=Immm final_energy_ev_per_fu=-38.55 pbc="T T T"
Tb 0.000 0.000 2.688
Tb 0.000 0.000 12.567
Pa 0.000 2.140 0.000
Ni 1.828 0.000 0.000
Ni 0.000 0.000 5.725
Ni 0.000 0.000 9.529

---

Record 2
6
Lattice="4.309 -2.497 0.000 4.309 2.497 0.000 -2.878 0.000 4.418" Properties=species:S:1:pos:R:3 comment="Pa2TcNi3 (PBE-GGA, relaxed)" magnetic_moment_mub_per_cell=0.00 dos_at_fermi_per_ev_cell=6.4 crystal_system=monoclinic sg=C2/m final_energy_ev_per_fu=-48.94 pbc="T T T"
Pa -0.003 0.000 1.683
Pa 5.743 0.000 2.735
Tc 2.870 0.000 2.209
Ni 2.155 1.249 0.000
Ni 2.155 -1.249 0.000
Ni 4.309 0.000 0.000

---

Record 3
4
Lattice="2.230 1.288 3.633 -2.230 1.288 3.633 0.000 -2.576 3.633" Properties=species:S:1:pos:R:3 comment="PaTcNi2 (PBE-GGA, relaxed)" magnetic_moment_mub_per_cell=0.83 dos_at_fermi_per_ev_cell=8.3 crystal_system=trigonal sg=R-3m e_above_lowest_polymorph_ev_per_atom=0.300 pbc="T T T"
Pa 0.000 0.000 0.000
Tc 0.000 0.000 5.449
Ni 0.000 0.000 2.798
Ni 0.000 0.000 8.100

---

Record 4
13
Lattice="-2.612 4.590 4.938 2.612 -4.590 4.938 2.612 4.590 -4.938" Properties=species:S:1:pos:R:3 comment="Pa6TcNi6 (PBE-GGA, relaxed)" magnetic_moment_mub_per_cell=0.00 dos_at_fermi_per_ev_cell=16.4 crystal_system=orthorhombic sg=Immm final_energy_ev_per_fu=-104.63 pbc="T T T"
Pa 2.612 1.598 0.000
Pa 0.000 0.000 1.871
Pa 0.000 3.114 0.000
Pa 0.000 6.065 0.000
Pa 0.000 0.000 8.004
Pa 0.000 2.992 4.938
Tc 0.000 0.000 4.938
Ni 1.306 2.295 -2.469
Ni 1.306 -2.295 2.469
Ni 2.612 0.000 2.439
Ni -1.306 2.295 2.469
Ni 1.306 2.295 2.469
Ni 0.000 4.590 2.499

---

Record 5
6
Lattice="0.000 3.450 3.450 3.450 0.000 3.450 3.450 3.450 0.000" Properties=species:S:1:pos:R:3 comment="PaTcNi4 (PBE-GGA, relaxed)" magnetic_moment_mub_per_cell=1.64 dos_at_fermi_per_ev_cell=9.9 crystal_system=cubic sg=F-43m final_energy_ev_per_fu=-44.24 pbc="T T T"
Pa 0.000 0.000 0.000
Tc 5.175 5.175 5.175
Ni 2.598 2.598 2.598
Ni 4.301 4.301 2.598
Ni 4.301 2.598 4.301
Ni 2.598 4.301 4.301

---

Record 6
18
Lattice="6.035 0.000 0.000 0.000 7.029 0.000 -5.796 0.000 9.435" Properties=species:S:1:pos:R:3 comment="Pa6Tc2Ni (PBE-GGA, relaxed)" magnetic_moment_mub_per_cell=0.00 dos_at_fermi_per_ev_cell=32.3 crystal_system=monoclinic sg=P2_1/c final_energy_ev_per_fu=-84.24 pbc="T T T"
Pa -2.061 1.052 4.173
Pa -4.959 2.463 8.890
Pa -0.689 4.941 3.999
Pa -3.587 5.603 8.716
Pa 0.823 0.057 2.570
Pa -2.075 3.458 7.288
Pa 2.314 3.571 2.147
Pa -0.584 6.973 6.865
Pa 3.826 1.426 0.719
Pa 0.928 2.088 5.436
Pa 5.198 4.567 0.545
Pa 2.300 5.977 5.263
Tc -3.101 0.992 7.379
Tc -0.203 2.522 2.662
Tc 0.442 4.507 6.773
Tc 3.340 6.037 2.056
Ni 0.000 0.000 0.000
Ni -2.898 3.515 4.718